[1]
TePPt2 after structural relaxation, computed with GGA-PBE.

Excess energy over the best structure of this formula in the dataset: 1 meV/atom
Formation energy (no corrections): -304 meV/atom

Geometry as extended XYZ:
```
8
Lattice="-0.0563 -4.6282 -1.6250 2.7361 -1.3784 3.8311 -4.5283 -4.2463 4.8467" Properties=species:S:1:pos:R:3 pbc="T T T"
Pt -1.2789 -8.3259 5.2469
Pt 0.5663 -2.8864 3.2679
Te 0.0000 0.0000 0.0000
P 1.3399 -3.0033 1.1031
P -0.2262 -4.3140 4.8904
Pt -2.1638 -5.5518 4.7808
Te -1.6223 -5.9389 2.1624
Pt -0.8206 -3.7417 0.8100
```



[2]
Ho5RuRh4 after structural relaxation, computed with GGA-PBE.

Energy of formation: -0.81 eV per atom

Geometry as extended XYZ:
```
10
Lattice="3.4124 0.0000 0.0000 0.0000 3.4124 0.0000 0.0000 0.0000 16.9397" Properties=species:S:1:pos:R:3 pbc="T T T"
Rh 0.0000 0.0000 10.1609
Ho 1.7062 1.7062 1.6564
Rh 0.0000 0.0000 3.4171
Ru 0.0000 0.0000 0.0000
Ho 1.7062 1.7062 11.8692
Ho 1.7062 1.7062 5.0705
Ho 1.7062 1.7062 8.4699
Rh 0.0000 0.0000 6.7788
Rh 0.0000 0.0000 13.5226
Ho 1.7062 1.7062 15.2833
```



[3]
Cs3W2Se8 after structural relaxation, computed with GGA-PBE.

Formation energy (no corrections): -710 meV/atom

Geometry as extended XYZ:
```
13
Lattice="7.2638 0.0983 2.3635 3.3102 6.4574 2.3979 0.1178 0.0019 11.1985" Properties=species:S:1:pos:R:3 pbc="T T T"
W 4.7135 2.8773 10.6569
Cs 8.5189 5.2423 10.9817
Se 6.7710 1.9166 10.1478
Cs 2.1729 1.3153 4.9781
Se 6.3928 3.9505 2.9778
Se 4.7580 5.1515 10.1643
Cs 0.0000 0.0000 0.0000
W 5.9783 3.6803 5.3029
Se 7.6755 4.7299 6.4997
Se 3.9209 4.6409 5.8121
Se 4.2991 2.6071 12.9821
Se 5.9339 1.4061 5.7956
Se 3.0163 1.8276 9.4601
```



Computed total magnetization (μB/cell) in order:
0.0 0.0 0.7